1.
Entry from Alexandria: a relaxed structure of YP (PBE-GGA).

Cell lengths 4.4523, 4.4523, 4.4523 Å; angles 60.00, 60.00, 60.00 degrees
Atoms (fractional coordinates):
1 Y 0.0000 0.0000 0.0000
2 P 0.2500 0.2500 0.2500

magnetic moment = 0.00 Bohr magnetons per cell
space group = No. 216
calculated density = 3.19 g/cm³
DOS(E_F) = 0.000 states/eV per atom
formation enthalpy at 0 K = -1087 meV per atom

=====

2.
Entry from Alexandria: a relaxed structure of ScCo2Te (PBE-GGA).

Cell lengths 4.5083, 4.5083, 4.5083 Å; angles 60.00, 60.00, 60.00 degrees
Atoms (fractional coordinates):
1 Sc 0.0000 0.0000 0.0000
2 Co 0.5000 0.5000 0.5000
3 Co 0.7500 0.7500 0.7500
4 Te 0.2500 0.2500 0.2500

magnetic moment = 2.21 Bohr magnetons per cell
space group = No. 216
excess energy over the best structure of this formula in the dataset = 0.318 eV per atom
calculated density = 7.44 g/cm³
DOS(E_F) = 1.930 states/eV per atom

=====

3.
Entry from Alexandria: a relaxed structure of TbHoIn2 (PBE-GGA).

Cell lengths 9.9447, 9.9447, 9.9447 Å; angles 21.37, 21.37, 21.37 degrees
Atoms (fractional coordinates):
1 Tb 0.0000 0.0000 0.0000
2 Ho 0.5000 0.5000 0.5000
3 In 0.2495 0.2495 0.2495
4 In 0.7505 0.7505 0.7505

magnetic moment = 0.00 Bohr magnetons per cell
space group = No. 166
calculated density = 8.03 g/cm³
DOS(E_F) = 0.488 states/eV per atom
formation enthalpy at 0 K = -326 meV per atom